A geometry-optimized Mg2Sn structure, computed with GGA-PBE.

Values from the calculation:
- Volume: 24.149 Å³/atom
- N(E_F): 3.7 states/eV per cell
- Calculated density: 3.8 g/cm³
- Raw total energy: -0.18004 Ry/atom
- Total moment: 0.00 μB per atom

Geometry as CIF:
```
data_Mg2Sn
_chemical_formula_sum 'Mg8 Sn4'
_symmetry_space_group_name_H-M 'C m c m'
_symmetry_Int_Tables_number 63
_symmetry_space_group_name_Hall '-C 2c 2'
_cell_length_a 3.260
_cell_length_b 15.950
_cell_length_c 5.574
_cell_angle_alpha 90.00
_cell_angle_beta 90.00
_cell_angle_gamma 90.00
loop_
_atom_site_label
_atom_site_type_symbol
_atom_site_fract_x
_atom_site_fract_y
_atom_site_fract_z
Mg1 Mg 0.000 0.053 0.250
Mg2 Mg 0.000 0.388 0.250
Sn1 Sn 0.000 0.279 0.750
```